Entry 1:
The following is a DFT calculation (GGA-PBE) of a relaxed structure of AcEuErTm.

Geometry as POSCAR:
```
AcEuErTm
1.0
-4.253 0.144 4.081
-4.265 -4.070 -0.042
-0.184 -4.120 4.213
Tm Er Ac Eu
1 1 1 1
direct
0.500 0.500 0.500 Tm
0.750 0.750 0.750 Er
0.250 0.250 0.250 Ac
0.000 0.000 0.000 Eu
```

Results
Calculated formation energy   150 meV/atom


Entry 2:
The following is a DFT calculation (GGA-PBE) of a relaxed structure of LiCeYMn.

Geometry as POSCAR:
```
LiCeYMn
1.0
-1.511 4.771 0.153
-1.411 2.040 4.349
2.874 3.468 2.188
Y Mn Ce Li
1 1 1 1
direct
0.750 0.750 0.750 Y
0.000 0.000 0.000 Mn
0.250 0.250 0.250 Ce
0.500 0.500 0.500 Li
```

Results
Calculated formation energy   159 meV/atom


Entry 3:
The following is a DFT calculation (GGA-PBE) of a relaxed structure of ErPd4Au3.

Geometry as POSCAR:
```
ErPd4Au3
1.0
4.917 0.000 0.000
0.000 6.019 0.000
0.000 0.000 9.400
Pd Au Er
8 6 2
direct
0.138 0.757 0.750 Pd
0.138 0.243 0.750 Pd
0.500 0.248 0.500 Pd
0.862 0.243 0.250 Pd
0.862 0.757 0.250 Pd
0.500 0.752 0.000 Pd
0.500 0.248 0.000 Pd
0.500 0.752 0.500 Pd
0.613 0.500 0.750 Au
0.000 0.000 0.500 Au
0.358 0.000 0.250 Au
0.642 0.000 0.750 Au
0.000 0.000 0.000 Au
0.387 0.500 0.250 Au
0.000 0.500 0.000 Er
0.000 0.500 0.500 Er
```

Results
Energy above the lowest structure with this stoichiometry   0 kJ/mol of formula units
Calculated formation energy   -485 meV/atom


Entry 4:
The following is a DFT calculation (GGA-PBE) of a relaxed structure of DyMnNi.

Geometry as POSCAR:
```
DyMnNi
1.0
-1.296 0.104 -4.177
-3.034 -1.262 -1.381
-4.535 7.865 -0.688
Ni Mn Dy
2 2 2
direct
0.750 0.500 0.500 Ni
0.250 0.500 0.500 Ni
0.820 0.361 0.000 Mn
0.180 0.639 0.000 Mn
0.376 0.000 0.247 Dy
0.624 0.000 0.753 Dy
```

Results
Calculated formation energy   161 meV/atom


Per-record spin magnetization, μB per formula unit: 7.7 1.3 0.0 0.2
Per-record electronic total energy, eV/atom: -5.704 -5.712 -4.881 -6.357